Record 1
Density functional theory data (meta-GGA SCAN) for a crystal of Tc8Sb relaxed with PBEsol.

The structure in POSCAR format:
```
Tc8Sb
1.0
-4.123 4.123 1.946
4.123 -4.123 1.946
4.123 4.123 -1.946
Tc Sb
8 1
Direct
0.000 0.345 0.345
0.000 0.655 0.655
0.321 0.321 0.642
0.321 0.679 0.000
0.345 0.000 0.345
0.655 0.000 0.655
0.679 0.321 0.000
0.679 0.679 0.358
0.000 0.000 0.000
```

Summary:
- Total magnetization: 0.0 μB per cell
- Space group: I4/mmm
- Uncorrected energy: -1.2969 hartree per atom
- Formation energy (no corrections): 13 meV/atom



Record 2
Density functional theory data (meta-GGA SCAN) for a crystal of TaCo relaxed with PBEsol.

The structure in POSCAR format:
```
TaCo
1.0
3.724 0.000 0.000
-1.862 3.225 0.000
0.000 0.000 4.935
Ta Co
2 2
Direct
0.333 0.667 0.250
0.667 0.333 0.750
0.000 0.000 0.000
0.000 0.000 0.500
```

Summary:
- Total magnetization: 0.0 μB per cell
- Space group: P6_3/mmc
- Formation energy: 0.097 eV per atom
- Uncorrected energy: -1.5378 hartree per atom



Record 3
Density functional theory data (meta-GGA SCAN) for a crystal of InSbCl relaxed with PBEsol.

The structure in POSCAR format:
```
InSbCl
1.0
5.044 0.000 0.000
-2.522 4.369 0.000
0.000 0.000 3.318
In Sb Cl
1 1 1
Direct
0.000 0.000 0.000
0.667 0.333 0.000
0.333 0.667 0.500
```

Summary:
- Relative energy among the computed polymorphs: 0 meV per atom
- Total magnetization: 0.0 μB per cell
- Space group: P-6m2
- Uncorrected energy: -0.9710 hartree per atom
- Formation energy (no corrections): -215 meV/atom



Record 4
Density functional theory data (meta-GGA SCAN) for a crystal of SrY2Ta relaxed with PBEsol.

The structure in POSCAR format:
```
SrY2Ta
1.0
4.781 0.000 0.000
0.000 4.781 0.000
0.000 0.000 9.643
Sr Y Ta
2 4 2
Direct
0.000 0.000 0.000
0.500 0.500 0.500
0.000 0.000 0.500
0.000 0.500 0.750
0.500 0.000 0.250
0.500 0.500 0.000
0.000 0.500 0.250
0.500 0.000 0.750
```

Summary:
- Relative energy among the computed polymorphs: 342 meV per atom
- Total magnetization: 0.0 μB per cell
- Space group: I-4m2
- Formation energy: 0.740 eV per atom
- Uncorrected energy: -1.3008 hartree per atom



| no. | V (Å³ per cell) |
| --- | --- |
| 1 | 132.4 |
| 2 | 59.3 |
| 3 | 73.1 |
| 4 | 220.4 |